1.
An optimized crystal structure of La6Ge2Te3Pb. Source: the Alexandria database, functional GGA-PBE.

Formation energy from raw total energies = -1.2203 eV per atom
V = 33.7 Å³/atom
ρ = 6.4 g/cm³
N(E_F) = 0.2548 states/eV per atom
Total magnetization = 0.00 μB per formula unit
SG = C2/m, No. 12

Lattice parameters (Å, degrees): 10.231 10.231 9.206 103.32 103.32 25.61
Fractional coordinates of all 12 atoms:
La  0.008  0.008  0.253
La  0.327  0.327  0.431
La  0.332  0.332  0.897
La  0.668  0.668  0.103
La  0.673  0.673  0.569
La  0.992  0.992  0.747
Ge  0.168  0.168  0.335
Ge  0.832  0.832  0.665
Te  0.164  0.164  0.832
Te  0.500  0.500  0.500
Te  0.836  0.836  0.168
Pb  0.500  0.500  0.000

2.
An optimized crystal structure of CeYCuSn. Source: the Alexandria database, functional GGA-PBE.

V = 25.3 Å³/atom
ρ = 6.8 g/cm³
N(E_F) = 2.5280 states/eV per atom
Total magnetization = 1.48 μB per formula unit
SG = F-43m, No. 216
Uncorrected energy = -5.4751 eV/atom

Lattice parameters (Å, degrees): 5.228 5.228 5.228 60.00 60.00 60.00
Fractional coordinates of all 4 atoms:
Ce  0.000  0.000  0.000
Y  0.500  0.500  0.500
Cu  0.750  0.750  0.750
Sn  0.250  0.250  0.250